The following is a PBE calculation of LaEuTlIn after structural relaxation, from Alexandria.

The structure in CIF format:
```
data_LaEuTlIn
_chemical_formula_sum 'La1 Eu1 Tl1 In1'
_space_group_name_H-M_alt 'P 1'
_space_group_IT_number 1
_space_group_name_Hall 'P 1'
_cell_length_a 5.612
_cell_length_b 5.612
_cell_length_c 5.612
_cell_angle_alpha 60.00
_cell_angle_beta 60.00
_cell_angle_gamma 60.00
loop_
_atom_site_label
_atom_site_fract_x
_atom_site_fract_y
_atom_site_fract_z
La1 0.000 0.000 0.000
Eu1 0.500 0.500 0.500
Tl1 0.750 0.750 0.750
In1 0.250 0.250 0.250
```

Space group: F-43m, No. 216
Total moment: 1.86 μB per atom
Density: 8.1 g/cm³
Energy relative to the elements: -43.0 kJ/mol of atoms


The following is a PBE calculation of LaEuTmIn after structural relaxation, from Alexandria.

The structure in CIF format:
```
data_LaEuTmIn
_chemical_formula_sum 'La1 Eu1 Tm1 In1'
_space_group_name_H-M_alt 'P 1'
_space_group_IT_number 1
_space_group_name_Hall 'P 1'
_cell_length_a 5.594
_cell_length_b 5.594
_cell_length_c 5.594
_cell_angle_alpha 60.00
_cell_angle_beta 60.00
_cell_angle_gamma 60.00
loop_
_atom_site_label
_atom_site_fract_x
_atom_site_fract_y
_atom_site_fract_z
La1 0.000 0.000 0.000
Eu1 0.750 0.750 0.750
Tm1 0.500 0.500 0.500
In1 0.250 0.250 0.250
```

Space group: F-43m, No. 216
Total moment: 1.94 μB per atom
Density: 7.7 g/cm³
Energy relative to the elements: -13.3 kJ/mol of atoms


The following is a PBE calculation of LaEuYIn after structural relaxation, from Alexandria.

The structure in CIF format:
```
data_LaEuYIn
_chemical_formula_sum 'La1 Eu1 Y1 In1'
_space_group_name_H-M_alt 'P 1'
_space_group_IT_number 1
_space_group_name_Hall 'P 1'
_cell_length_a 5.626
_cell_length_b 5.626
_cell_length_c 5.626
_cell_angle_alpha 60.00
_cell_angle_beta 60.00
_cell_angle_gamma 60.00
loop_
_atom_site_label
_atom_site_fract_x
_atom_site_fract_y
_atom_site_fract_z
La1 0.000 0.000 0.000
Eu1 0.750 0.750 0.750
Y1 0.500 0.500 0.500
In1 0.250 0.250 0.250
```

Space group: F-43m, No. 216
Total moment: 1.95 μB per atom
Density: 6.5 g/cm³
Energy relative to the elements: -16.3 kJ/mol of atoms


The following is a PBE calculation of LaEuZnIn after structural relaxation, from Alexandria.

The structure in CIF format:
```
data_LaEuZnIn
_chemical_formula_sum 'La1 Eu1 Zn1 In1'
_space_group_name_H-M_alt 'P 1'
_space_group_IT_number 1
_space_group_name_Hall 'P 1'
_cell_length_a 5.479
_cell_length_b 5.479
_cell_length_c 5.479
_cell_angle_alpha 60.00
_cell_angle_beta 60.00
_cell_angle_gamma 60.00
loop_
_atom_site_label
_atom_site_fract_x
_atom_site_fract_y
_atom_site_fract_z
La1 0.000 0.000 0.000
Eu1 0.500 0.500 0.500
Zn1 0.250 0.250 0.250
In1 0.750 0.750 0.750
```

Space group: F-43m, No. 216
Total moment: 1.84 μB per atom
Density: 6.7 g/cm³
Energy relative to the elements: -36.9 kJ/mol of atoms